VASP calculation (PBE) on PrTmAlZn after structural relaxation.

Properties
The calculated formation energy comes out at -352 meV per atom. The spin magnetization comes out at 0.00 μB per cell. The value obtained for the density of states at the Fermi level is 3.1 states/eV/cell. The value obtained for the total DFT energy (no corrections) is -3.92 eV/atom. For the density, the calculation gives 6.9 g cm⁻³. The excess energy over the best structure of this formula in the dataset is 0.000 eV per atom.

a = 3.616 Å, b = 3.616 Å, c = 7.382 Å
α = 90.00°, β = 90.00°, γ = 90.00°
Space group P4mm (No. 99)
One atom of each set of equivalent atoms:
Pr 0.000 0.000 0.000 x1
Tm 0.000 0.000 0.509 x1
Al 0.500 0.500 0.273 x1
Zn 0.500 0.500 0.721 x1



VASP calculation (PBE) on LiLaPrAg after structural relaxation.

Properties
The calculated formation energy comes out at -54 meV per atom. The spin magnetization comes out at 2.58 μB per cell. The value obtained for the density of states at the Fermi level is 19.7 states/eV/cell. The value obtained for the total DFT energy (no corrections) is -3.67 eV/atom. For the density, the calculation gives 5.9 g cm⁻³.

a = 7.643 Å, b = 7.643 Å, c = 7.643 Å
α = 90.00°, β = 90.00°, γ = 90.00°
Space group F-43m (No. 216)
One atom of each set of equivalent atoms:
Li 0.000 0.000 0.000 x4
La 0.250 0.250 0.250 x4
Pr 0.250 0.250 0.750 x4
Ag 0.000 0.000 0.500 x4



VASP calculation (PBE) on GdScTlHg after structural relaxation.

Properties
The calculated formation energy comes out at -389 meV per atom. The spin magnetization comes out at 31.56 μB per cell. The value obtained for the density of states at the Fermi level is 15.8 states/eV/cell. The value obtained for the total DFT energy (no corrections) is -6.16 eV/atom. For the density, the calculation gives 10.1 g cm⁻³.

a = 7.363 Å, b = 7.363 Å, c = 7.363 Å
α = 90.00°, β = 90.00°, γ = 90.00°
Space group F-43m (No. 216)
One atom of each set of equivalent atoms:
Gd 0.000 0.000 0.000 x4
Sc 0.000 0.000 0.500 x4
Tl 0.250 0.250 0.250 x4
Hg 0.250 0.250 0.750 x4



VASP calculation (PBE) on Ac4Pr3Pb4 after structural relaxation.

Properties
The calculated formation energy comes out at -404 meV per atom. The spin magnetization comes out at 0.00 μB per cell. The value obtained for the density of states at the Fermi level is 16.1 states/eV/cell. The value obtained for the total DFT energy (no corrections) is -4.55 eV/atom. For the density, the calculation gives 9.0 g cm⁻³.

a = 3.835 Å, b = 10.273 Å, c = 20.267 Å
α = 90.00°, β = 90.00°, γ = 90.00°
Space group Immm (No. 71)
One atom of each set of equivalent atoms:
Ac 0.000 0.175 0.164 x8
Pr 0.000 0.000 0.412 x4
Pr 0.000 0.500 0.500 x2
Pb 0.000 0.277 0.000 x4
Pb 0.000 0.500 0.220 x4